Entry 1:
## Pm2GaPd2 (PBE)

Data for Pm2GaPd2 after structural relaxation.

symmetry	No. 72
energy relative to the lowest polymorph listed for this composition	142	meV per atom

a = 5.9485 Å, b = 7.1477 Å, c = 7.3506 Å
α = 119.09°, β = 113.87°, γ = 90.00°
Atoms (fractional coordinates):
1 Pd 0.3915 0.6409 0.7830
2 Pd 0.6085 0.3591 0.2170
3 Pd 0.1085 0.8579 0.2170
4 Ga 0.7500 0.5000 0.0000
5 Pm 0.1454 0.3168 0.2908
6 Ga 0.2500 0.5000 0.0000
7 Pm 0.8546 0.6832 0.7092
8 Pm 0.6454 0.9740 0.2908
9 Pm 0.3546 0.0260 0.7092
10 Pd 0.8915 0.1421 0.7830

Entry 2:
## Pm3Ga8Pd3 (PBE)

Data for Pm3Ga8Pd3 after structural relaxation.

symmetry	No. 71
energy relative to the lowest polymorph listed for this composition	0	meV per atom

a = 4.3106 Å, b = 8.2783 Å, c = 8.2783 Å
α = 72.83°, β = 74.91°, γ = 74.91°
Atoms (fractional coordinates):
1 Pm 0.1855 0.8145 0.8145
2 Ga 0.6285 0.0904 0.6525
3 Ga 0.1655 0.2031 0.4660
4 Ga 0.8345 0.7969 0.5340
5 Pd 0.5000 0.0000 0.0000
6 Ga 0.8345 0.5340 0.7969
7 Ga 0.1655 0.4660 0.2031
8 Ga 0.3715 0.9096 0.3475
9 Ga 0.6285 0.6525 0.0904
10 Ga 0.3715 0.3475 0.9096
11 Pd 0.0000 0.7854 0.2146
12 Pd 0.0000 0.2146 0.7854
13 Pm 0.8145 0.1855 0.1855
14 Pm 0.5000 0.5000 0.5000

ΔH_f (0 K), record by record: -0.67; -0.72 eV per atom